# 1
Material: MgP2C2
Method: DFT, GGA-PBEsol
State: optimized geometry

Energy of formation: 4.2 eV per formula unit
Mass density: 2.81 g/cm³
Crystal system: tetragonal

Cell: 3.832 3.832 8.878 Å, 90.00 90.00 90.00°
Space group I4/mmm (No. 139)
Inequivalent atoms, fractional coordinates:
Mg1 0.000 0.000 0.000 [2 per cell]
P1 0.000 0.500 0.250 [4 per cell]
C1 0.000 0.000 0.251 [4 per cell]

---

# 2
Material: MgPC2
Method: DFT, GGA-PBEsol
State: optimized geometry

Energy of formation: 7.2 eV per formula unit
Mass density: 3.26 g/cm³
Crystal system: cubic

Cell: 5.447 5.447 5.447 Å, 90.00 90.00 90.00°
Space group Fm-3m (No. 225)
Inequivalent atoms, fractional coordinates:
Mg1 0.000 0.000 0.000 [4 per cell]
P1 0.000 0.000 0.500 [4 per cell]
C1 0.250 0.250 0.250 [8 per cell]